Entry 1:
Below is a PBEsol-optimized structure of Zr3Mn2Ni4, with properties calculated at the meta-GGA SCAN level.

- raw total energy (eV/cell) = -394.17
- DOS(E_F) (states/eV/cell) = 14.23
- DFT formation energy (eV/f.u.) = -3.79
- total moment (μB per cell) = 5.818

abc: 4.8414 4.8910 12.0203
angles: 90.10 90.15 119.49
Space group P-1 (No. 2)
Asymmetric unit:
Zr: 0.0067 0.0048 0.1242 (multiplicity 2)
Zr: 0.3308 0.6704 0.4569 (multiplicity 2)
Zr: 0.3402 0.6634 0.2090 (multiplicity 2)
Mn: 0.0000 0.5000 0.0000 (multiplicity 1)
Mn: 0.1673 0.8331 0.6659 (multiplicity 2)
Mn: 0.5000 0.5000 0.0000 (multiplicity 1)
Ni: 0.0000 0.0000 0.5000 (multiplicity 1)
Ni: 0.1675 0.3354 0.6662 (multiplicity 2)
Ni: 0.3301 0.6680 0.8338 (multiplicity 2)
Ni: 0.3321 0.1659 0.3339 (multiplicity 2)
Ni: 0.5000 0.0000 0.0000 (multiplicity 1)



Entry 2:
Below is a PBEsol-optimized structure of Mn2O3, with properties calculated at the meta-GGA SCAN level.

- raw total energy (eV/cell) = -525.06
- DOS(E_F) (states/eV/cell) = 10.75
- formation energy from raw total energies (eV per atom) = -2.086
- total moment (μB per cell) = 64.000

abc: 5.1476 8.6572 9.3190
angles: 90.00 90.00 90.00
Space group Pna2_1 (No. 33)
Asymmetric unit:
Mn: 0.1749 0.0192 0.0000 (multiplicity 4)
Mn: 0.1771 0.3407 0.7812 (multiplicity 4)
Mn: 0.1788 0.6623 0.0068 (multiplicity 4)
Mn: 0.2052 0.3541 0.1901 (multiplicity 4)
O: 0.0222 0.4800 0.6305 (multiplicity 4)
O: 0.0281 0.8258 0.1310 (multiplicity 4)
O: 0.0516 0.1651 0.1298 (multiplicity 4)
O: 0.1583 0.9982 0.4085 (multiplicity 4)
O: 0.1609 0.6660 0.3730 (multiplicity 4)
O: 0.1708 0.3356 0.3988 (multiplicity 4)



Entry 3:
Below is a PBEsol-optimized structure of Mn7O12, with properties calculated at the meta-GGA SCAN level.

- raw total energy (eV/cell) = -484.99
- DOS(E_F) (states/eV/cell) = 7.82
- formation energy from raw total energies (eV per atom) = -2.102
- total moment (μB per cell) = 50.042

abc: 7.1542 7.1542 7.1542
angles: 90.00 90.00 90.00
Space group Im-3 (No. 204)
Asymmetric unit:
Mn: 0.0000 0.0000 0.5000 (multiplicity 6)
Mn: 0.2500 0.2500 0.2500 (multiplicity 8)
O: 0.0000 0.1875 0.3129 (multiplicity 24)



Entry 4:
Below is a PBEsol-optimized structure of Mn2O3, with properties calculated at the meta-GGA SCAN level.

- raw total energy (eV/cell) = -1056.18
- DOS(E_F) (states/eV/cell) = 27.96
- formation energy from raw total energies (eV per atom) = -2.161
- total moment (μB per cell) = 128.000

abc: 9.3814 9.3814 9.3814
angles: 90.00 90.00 90.00
Space group Ia-3 (No. 206)
Asymmetric unit:
Mn: 0.0000 0.2500 0.4654 (multiplicity 24)
Mn: 0.2500 0.2500 0.2500 (multiplicity 8)
O: 0.1060 0.1214 0.3336 (multiplicity 48)



Entry 5:
Below is a PBEsol-optimized structure of Mn5O8, with properties calculated at the meta-GGA SCAN level.

- raw total energy (eV/cell) = -337.89
- DOS(E_F) (states/eV/cell) = 6.16
- formation energy from raw total energies (eV per atom) = -2.140
- total moment (μB per cell) = 37.104

abc: 10.1073 5.6579 4.8332
angles: 90.00 107.21 90.00
Space group C2/m (No. 12)
Asymmetric unit:
Mn: 0.0000 0.0000 0.0000 (multiplicity 2)
Mn: 0.0000 0.2587 0.5000 (multiplicity 4)
Mn: 0.2231 0.5000 0.1396 (multiplicity 4)
O: 0.1035 0.0000 0.3995 (multiplicity 4)
O: 0.1040 0.5000 0.4068 (multiplicity 4)
O: 0.1175 0.2275 0.8919 (multiplicity 8)



Entry 6:
Below is a PBEsol-optimized structure of Mn2O3, with properties calculated at the meta-GGA SCAN level.

- raw total energy (eV/cell) = -392.50
- DOS(E_F) (states/eV/cell) = 9.43
- formation energy from raw total energies (eV per atom) = -2.043
- total moment (μB per cell) = 48.102

abc: 4.8881 4.8881 13.5095
angles: 90.00 90.00 120.00
Space group R-3c (No. 167, hexagonal axes)
Asymmetric unit:
Mn: 0.0000 0.0000 0.1541 (multiplicity 12)
O: 0.0000 0.3106 0.2500 (multiplicity 18)



Entry 7:
Below is a PBEsol-optimized structure of Mn2O3, with properties calculated at the meta-GGA SCAN level.

- raw total energy (eV/cell) = -131.20
- formation energy from raw total energies (eV per atom) = -2.079
- total moment (μB per cell) = 16.000

abc: 5.0207 5.1761 5.3190
angles: 97.12 106.03 117.91
Space group P-1 (No. 2)
Asymmetric unit:
Mn: 0.0000 0.0000 0.0000 (multiplicity 1)
Mn: 0.0000 0.5000 0.5000 (multiplicity 1)
Mn: 0.3694 0.1835 0.5633 (multiplicity 2)
O: 0.1222 0.2268 0.7537 (multiplicity 2)
O: 0.2024 0.3687 0.2997 (multiplicity 2)
O: 0.4219 0.8721 0.6815 (multiplicity 2)



Entry 8:
Below is a PBEsol-optimized structure of Mn5O8, with properties calculated at the meta-GGA SCAN level.

- raw total energy (eV/cell) = -503.45
- DOS(E_F) (states/eV/cell) = 13.66
- formation energy from raw total energies (eV per atom) = -2.053
- total moment (μB per cell) = 47.938

abc: 5.7004 5.7004 14.1440
angles: 90.00 90.00 120.00
Space group R-3m (No. 166, hexagonal axes)
Asymmetric unit:
Mn: 0.0000 0.0000 0.0000 (multiplicity 3)
Mn: 0.0000 0.0000 0.5000 (multiplicity 3)
Mn: 0.0000 0.5000 0.0000 (multiplicity 9)
O: 0.0000 0.0000 0.2662 (multiplicity 6)
O: 0.0186 0.5093 0.2580 (multiplicity 18)



Entry 9:
Below is a PBEsol-optimized structure of Mn3O4, with properties calculated at the meta-GGA SCAN level.

- raw total energy (eV/cell) = -376.60
- DOS(E_F) (states/eV/cell) = 7.72
- formation energy from raw total energies (eV per atom) = -2.066
- total moment (μB per cell) = 51.188

abc: 2.9060 9.6229 9.5896
angles: 90.00 90.00 90.00
Space group Pbcm (No. 57)
Asymmetric unit:
Mn: 0.2491 0.1200 0.0690 (multiplicity 8)
Mn: 0.2506 0.6339 0.7500 (multiplicity 4)
O: 0.2492 0.2091 0.2500 (multiplicity 4)
O: 0.2501 0.0260 0.6133 (multiplicity 8)
O: 0.2511 0.7500 0.0000 (multiplicity 4)



Entry 10:
Below is a PBEsol-optimized structure of Mn3O4, with properties calculated at the meta-GGA SCAN level.

- raw total energy (eV/cell) = -378.67
- formation energy from raw total energies (eV per atom) = -2.140
- total moment (μB per cell) = 52.000

abc: 5.7644 5.7644 9.3357
angles: 90.00 90.00 90.00
Space group I4_1/amd (No. 141, origin choice 2)
Asymmetric unit:
Mn: 0.0000 0.0000 0.0000 (multiplicity 8)
Mn: 0.0000 0.2500 0.3750 (multiplicity 4)
O: 0.0000 0.0258 0.7556 (multiplicity 16)



Entry 11:
Below is a PBEsol-optimized structure of Mn3OsO, with properties calculated at the meta-GGA SCAN level.

- raw total energy (eV/cell) = -133.01
- DOS(E_F) (states/eV/cell) = 6.34
- formation energy from raw total energies (eV per atom) = -0.027
- total moment (μB per cell) = 0.007

abc: 3.7262 3.7262 3.7262
angles: 90.00 90.00 90.00
Space group Pm-3m (No. 221)
Asymmetric unit:
Mn: 0.0000 0.0000 0.5000 (multiplicity 3)
Os: 0.5000 0.5000 0.5000 (multiplicity 1)
O: 0.0000 0.0000 0.0000 (multiplicity 1)



Entry 12:
Below is a PBEsol-optimized structure of MnOsRh2O, with properties calculated at the meta-GGA SCAN level.

- raw total energy (eV/cell) = -160.47
- DOS(E_F) (states/eV/cell) = 4.10
- formation energy from raw total energies (eV per atom) = 0.687
- total moment (μB per cell) = 0.222

abc: 4.6107 4.6107 3.2367
angles: 90.00 90.00 90.00
Space group P4/mmm (No. 123)
Asymmetric unit:
Mn: 0.0000 0.0000 0.0000 (multiplicity 1)
Os: 0.5000 0.5000 0.5000 (multiplicity 1)
Rh: 0.0000 0.5000 0.0000 (multiplicity 2)
O: 0.0000 0.0000 0.5000 (multiplicity 1)



Entry 13:
Below is a PBEsol-optimized structure of Sr2MnOsO6, with properties calculated at the meta-GGA SCAN level.

- raw total energy (eV/cell) = -390.59
- DOS(E_F) (states/eV/cell) = 1.80
- formation energy from raw total energies (eV per atom) = -2.322
- total moment (μB per cell) = 1.994

abc: 5.4051 5.4051 8.0513
angles: 90.00 90.00 90.00
Space group I4/m (No. 87)
Asymmetric unit:
Sr: 0.0000 0.5000 0.2500 (multiplicity 4)
Mn: 0.0000 0.0000 0.0000 (multiplicity 2)
Os: 0.0000 0.0000 0.5000 (multiplicity 2)
O: 0.0000 0.0000 0.2547 (multiplicity 4)
O: 0.2012 0.7081 0.0000 (multiplicity 8)



Entry 14:
Below is a PBEsol-optimized structure of Mn3P4O16, with properties calculated at the meta-GGA SCAN level.

- raw total energy (eV/cell) = -981.75
- DOS(E_F) (states/eV/cell) = 4.88
- formation energy from raw total energies (eV per atom) = -2.147
- total moment (μB per cell) = 35.830

abc: 18.9646 6.1825 10.2906
angles: 90.00 102.39 90.00
Space group C2/c (No. 15)
Asymmetric unit:
Mn: 0.1507 0.0057 0.2122 (multiplicity 8)
Mn: 0.2500 0.2500 0.0000 (multiplicity 4)
P: 0.0816 0.1845 0.9330 (multiplicity 8)
P: 0.2011 0.4946 0.7299 (multiplicity 8)
O: 0.0160 0.3172 0.9023 (multiplicity 8)
O: 0.0863 0.0355 0.0597 (multiplicity 8)
O: 0.0894 0.0171 0.8204 (multiplicity 8)
O: 0.1543 0.3189 0.9609 (multiplicity 8)
O: 0.1564 0.2965 0.6837 (multiplicity 8)
O: 0.1561 0.3091 0.2427 (multiplicity 8)
O: 0.2389 0.0426 0.1348 (multiplicity 8)
O: 0.2398 0.0338 0.8593 (multiplicity 8)



Entry 15:
Below is a PBEsol-optimized structure of Mn3P4O14, with properties calculated at the meta-GGA SCAN level.

- raw total energy (eV/cell) = -232.52
- DOS(E_F) (states/eV/cell) = 1.41
- formation energy from raw total energies (eV per atom) = -2.330
- total moment (μB per cell) = 13.000

abc: 5.9769 6.6425 7.6198
angles: 81.16 72.77 75.76
Space group P-1 (No. 2)
Asymmetric unit:
Mn: 0.0000 0.0000 0.0000 (multiplicity 1)
Mn: 0.2447 0.4696 0.3353 (multiplicity 2)
P: 0.2157 0.6902 0.6889 (multiplicity 2)
P: 0.3670 0.3038 0.9261 (multiplicity 2)
O: 0.0651 0.8912 0.7715 (multiplicity 2)
O: 0.0818 0.6139 0.5708 (multiplicity 2)
O: 0.2107 0.5254 0.8667 (multiplicity 2)
O: 0.2523 0.1374 0.8894 (multiplicity 2)
O: 0.3384 0.3084 0.1297 (multiplicity 2)
O: 0.3744 0.7126 0.1906 (multiplicity 2)
O: 0.4698 0.6927 0.5788 (multiplicity 2)